First-principles (PBE with a Hubbard U) data for an optimized crystal structure of LiVF4, as listed in the Alexandria database.

```
48
Lattice="11.2086 0.0000 0.0000 0.0000 15.6344 0.0000 0.0000 0.0000 3.9497" Properties=species:S:1:pos:R:3 pbc="T T T"
Li 0.0000 0.0000 0.0000
Li 0.0000 7.8172 0.0000
Li 2.8021 1.7447 1.8553
Li 2.8021 6.0725 1.8553
Li 5.6043 0.0000 0.0000
Li 5.6043 7.8172 0.0000
Li 8.4064 9.5619 2.0944
Li 8.4064 13.8897 2.0944
V 0.1211 3.9086 2.9063
V 2.8021 9.0302 1.0938
V 2.8021 14.4214 1.0938
V 5.4832 3.9086 2.9063
V 5.7254 11.7258 1.0434
V 8.4064 1.2130 2.8559
V 8.4064 6.6042 2.8559
V 11.0875 11.7258 1.0434
F 0.0600 3.9086 0.9308
F 1.3325 10.3189 1.0316
F 1.3325 13.1327 1.0316
F 1.3968 2.4609 2.8954
F 1.3968 5.3563 2.8954
F 1.4606 0.2306 1.1098
F 1.4606 7.5866 1.1098
F 2.8021 8.9714 3.0649
F 2.8021 14.4802 3.0649
F 4.1437 0.2306 1.1098
F 4.1437 7.5866 1.1098
F 4.2075 2.4609 2.8954
F 4.2075 5.3563 2.8954
F 4.2718 10.3189 1.0316
F 4.2718 13.1327 1.0316
F 5.5443 3.9086 0.9308
F 5.6642 11.7258 3.0189
F 6.9368 2.5017 2.9181
F 6.9368 5.3155 2.9181
F 7.0011 10.2781 1.0543
F 7.0011 13.1735 1.0543
F 7.0649 8.0478 2.8399
F 7.0649 15.4038 2.8399
F 8.4064 1.1542 0.8848
F 8.4064 6.6630 0.8848
F 9.7479 8.0478 2.8399
F 9.7479 15.4038 2.8399
F 9.8117 10.2781 1.0543
F 9.8117 13.1735 1.0543
F 9.8761 2.5017 2.9181
F 9.8761 5.3155 2.9181
F 11.1486 11.7258 3.0189
```

- Density: 2.57 g/cm³
- Calculated total energy: -270.63 eV for the cell shown
- Crystal system: orthorhombic